The following is a DFT calculation (PBE) of a relaxed structure of MgTa3Al.

Computed properties:
VASP energy   -34.958 eV/f.u.
Energy relative to the lowest polymorph listed for this composition   0.0000 eV/atom
ΔE_f   1187 meV/atom
Total magnetization   0.00 μB/f.u.
Symmetry   Pm-3m (221)
ρ   9.2 g/cm³

Lattice parameters (Å, degrees): 4.753 4.753 4.753 90.00 90.00 90.00
Fractional coordinates of all 5 atoms:
Mg  0.000  0.000  0.000
Ta  0.000  0.500  0.500
Ta  0.500  0.000  0.500
Ta  0.500  0.500  0.000
Al  0.500  0.500  0.500